## ErPuThZr (PBE-GGA)

Data for ErPuThZr after structural relaxation.

Cell lengths 7.5982, 7.5982, 7.5982 Å; angles 90.00, 90.00, 90.00 degrees
Sites, in units of the cell vectors:
1 Er 0.0000 0.0000 0.0000
2 Er 0.0000 0.5000 0.5000
3 Er 0.5000 0.0000 0.5000
4 Er 0.5000 0.5000 0.0000
5 Pu 0.2500 0.2500 0.2500
6 Pu 0.2500 0.7500 0.7500
7 Pu 0.7500 0.2500 0.7500
8 Pu 0.7500 0.7500 0.2500
9 Th 0.0000 0.0000 0.5000
10 Th 0.0000 0.5000 0.0000
11 Th 0.5000 0.0000 0.0000
12 Th 0.5000 0.5000 0.5000
13 Zr 0.2500 0.2500 0.7500
14 Zr 0.2500 0.7500 0.2500
15 Zr 0.7500 0.2500 0.2500
16 Zr 0.7500 0.7500 0.7500

As for the symmetry: F-43m, No. 216. The calculation puts the formation energy at 0.209 eV/atom. The calculation puts the calculated density at 11.122 g cm⁻³.


## CaIn2P2Pt7 (PBE-GGA)

Data for CaIn2P2Pt7 after structural relaxation.

Cell lengths 3.9369, 3.9369, 15.2878 Å; angles 97.14, 97.14, 89.98 degrees
Sites, in units of the cell vectors:
1 Ca 0.0000 0.0000 0.0000
2 In 0.2098 0.2098 0.4255
3 In 0.7902 0.7902 0.5745
4 P 0.3864 0.3864 0.7655
5 P 0.6136 0.6136 0.2345
6 Pt 0.0723 0.5720 0.1494
7 Pt 0.3089 0.3089 0.6137
8 Pt 0.4280 0.9277 0.8506
9 Pt 0.5000 0.5000 0.0000
10 Pt 0.5720 0.0723 0.1494
11 Pt 0.6911 0.6911 0.3863
12 Pt 0.9277 0.4280 0.8506

As for the symmetry: C2/m, No. 12. The calculation puts the formation energy at -0.541 eV/atom. The calculation puts the calculated density at 12.082 g cm⁻³.